1.
# LiNbC2 (PBE, optimized geometry)
data_LiNbC2
_space_group_name_H-M_alt 'F m -3 m'
_space_group_IT_number 225
_space_group_name_Hall '-F 4 2 3'
_cell_length_a 5.373
_cell_length_b 5.373
_cell_length_c 5.373
_cell_angle_alpha 90.00
_cell_angle_beta 90.00
_cell_angle_gamma 90.00
loop_
_atom_site_label
_atom_site_fract_x
_atom_site_fract_y
_atom_site_fract_z
Li1 0.000 0.000 0.000
Nb1 0.000 0.000 0.500
C1 0.250 0.250 0.250
# Formation energy = 0.88 eV/atom
# D(E_F) = 1.86 states/eV/f.u.
# Raw total energy = -6.731 eV per atom
# Calculated volume = 39 Å³/f.u.

---

2.
# Li2NbC (PBE, optimized geometry)
data_Li2NbC
_space_group_name_H-M_alt 'I -4 2 d'
_space_group_IT_number 122
_space_group_name_Hall 'I -4 2bw'
_cell_length_a 6.935
_cell_length_b 6.935
_cell_length_c 4.324
_cell_angle_alpha 90.00
_cell_angle_beta 90.00
_cell_angle_gamma 90.00
loop_
_atom_site_label
_atom_site_fract_x
_atom_site_fract_y
_atom_site_fract_z
Li1 0.163 0.250 0.125
Nb1 0.000 0.000 0.500
C1 0.000 0.000 0.000
# Formation energy = 0.63 eV/atom
# D(E_F) = 2.22 states/eV/f.u.
# Raw total energy = -5.148 eV per atom
# Calculated volume = 52 Å³/f.u.

---

3.
# LiNbNiC2 (PBE, optimized geometry)
data_LiNbNiC2
_space_group_name_H-M_alt 'P 4/m m m'
_space_group_IT_number 123
_space_group_name_Hall '-P 4 2'
_cell_length_a 3.650
_cell_length_b 3.650
_cell_length_c 4.086
_cell_angle_alpha 90.00
_cell_angle_beta 90.00
_cell_angle_gamma 90.00
loop_
_atom_site_label
_atom_site_fract_x
_atom_site_fract_y
_atom_site_fract_z
Li1 0.000 0.000 0.000
Nb1 0.000 0.000 0.500
Ni1 0.500 0.500 0.500
C1 0.000 0.500 0.000
# Formation energy = 2.09 eV/atom
# D(E_F) = 4.66 states/eV/f.u.
# Raw total energy = -5.148 eV per atom
# Calculated volume = 54 Å³/f.u.

---

4.
# LiNb2PtC (PBE, optimized geometry)
data_LiNb2PtC
_space_group_name_H-M_alt 'P 4/m m m'
_space_group_IT_number 123
_space_group_name_Hall '-P 4 2'
_cell_length_a 4.287
_cell_length_b 4.287
_cell_length_c 4.145
_cell_angle_alpha 90.00
_cell_angle_beta 90.00
_cell_angle_gamma 90.00
loop_
_atom_site_label
_atom_site_fract_x
_atom_site_fract_y
_atom_site_fract_z
Li1 0.000 0.000 0.000
Nb1 0.000 0.500 0.500
Pt1 0.500 0.500 0.000
C1 0.500 0.500 0.500
# Formation energy = 0.00 eV/atom
# D(E_F) = 4.47 states/eV/f.u.
# Raw total energy = -7.460 eV per atom
# Calculated volume = 76 Å³/f.u.

---

5.
# LiNbSb2C (PBE, optimized geometry)
data_LiNbSb2C
_space_group_name_H-M_alt 'P 4/m m m'
_space_group_IT_number 123
_space_group_name_Hall '-P 4 2'
_cell_length_a 5.300
_cell_length_b 5.300
_cell_length_c 5.469
_cell_angle_alpha 90.00
_cell_angle_beta 90.00
_cell_angle_gamma 90.00
loop_
_atom_site_label
_atom_site_fract_x
_atom_site_fract_y
_atom_site_fract_z
Li1 0.000 0.000 0.000
Nb1 0.000 0.000 0.500
Sb1 0.000 0.500 0.500
C1 0.500 0.500 0.000
# D(E_F) = 3.79 states/eV/f.u.
# Raw total energy = -4.120 eV per atom
# Formation energy (no corrections) = 1771 meV/atom
# Calculated volume = 154 Å³/f.u.

---

6.
# LiSc2NbC (PBE, optimized geometry)
data_LiSc2NbC
_space_group_name_H-M_alt 'P 4/m m m'
_space_group_IT_number 123
_space_group_name_Hall '-P 4 2'
_cell_length_a 4.558
_cell_length_b 4.558
_cell_length_c 4.332
_cell_angle_alpha 90.00
_cell_angle_beta 90.00
_cell_angle_gamma 90.00
loop_
_atom_site_label
_atom_site_fract_x
_atom_site_fract_y
_atom_site_fract_z
Li1 0.000 0.000 0.000
Sc1 0.000 0.500 0.500
Nb1 0.500 0.500 0.000
C1 0.500 0.500 0.500
# Formation energy = -0.06 eV/atom
# D(E_F) = 5.97 states/eV/f.u.
# Raw total energy = -6.838 eV per atom
# Calculated volume = 90 Å³/f.u.